# Sr2Cu2MoO6 (PBE with a Hubbard U, relaxed)
data_Sr2Cu2MoO6
_symmetry_space_group_name_H-M 'R -3 m'
_symmetry_Int_Tables_number 166
_symmetry_space_group_name_Hall '-R 3 2"'
_cell_length_a 5.9387
_cell_length_b 5.9387
_cell_length_c 15.2486
_cell_angle_alpha 90.00
_cell_angle_beta 90.00
_cell_angle_gamma 120.00
loop_
_atom_site_label
_atom_site_fract_x
_atom_site_fract_y
_atom_site_fract_z
Sr1 0.0000 0.0000 0.2182
Cu1 0.0000 0.0000 0.4175
Mo1 0.0000 0.0000 0.0000
O1 0.0350 0.5175 0.7467
# * volume: 155.2 Å³/f.u.
# * size of the total moment: 0.0 μB/f.u.
# * E: -6.090 eV/atom
# * ρ: 5.3 Mg/m³